(1)
This record from Alexandria describes ZnAg2PN after structural relaxation. The functional is PBE.

a b c (Å): 4.6373 4.6373 3.7374
angles (deg): 90.00 90.00 90.00
Closest atoms and distances in Å follow each position.
Space group P4/mmm (No. 123)
Asymmetric unit:
Zn: 0.0000 0.0000 0.0000 [1 per cell]  2 N 1.87
Ag: 0.0000 0.5000 0.5000 [2 per cell]  2 N 2.32
P: 0.5000 0.5000 0.0000 [1 per cell]  8 Ag 2.98, 4 Zn 3.28
N: 0.0000 0.0000 0.5000 [1 per cell]  2 Zn 1.87

Spin magnetization (μB per atom): 0.0000
Density (g/cm³): 6.7
V (Å³/atom): 16.07
Formation energy (no corrections) (eV per formula unit): 3.1

=====

(2)
This record from Alexandria describes CaAc4Sm after structural relaxation. The functional is PBE.

a b c (Å): 10.1171 6.8535 7.4429
angles (deg): 90.00 96.36 90.00
Closest atoms and distances in Å follow each position.
Space group P2/c (No. 13)
Asymmetric unit:
Ca: 0.0000 0.0774 0.2500 [2 per cell]  2 Ca 3.87, 10 Ac 3.93-4.01
Ac: 0.1730 0.4211 0.9236 [4 per cell]  2 Sm 3.84-3.88, 7 Ac 3.86-4.11, 3 Ca 3.93-4.01
Ac: 0.3374 0.0919 0.5826 [4 per cell]  7 Ac 3.85-4.01, 3 Sm 3.85-4.02, 2 Ca 3.94-3.99
Sm: 0.5000 0.4213 0.2500 [2 per cell]  10 Ac 3.84-4.02, 2 Sm 3.87

Spin magnetization (μB per atom): 0.0000
Density (g/cm³): 7.1
Energy above the most stable polymorph in this dataset (eV/f.u.): 0.000
V (Å³/atom): 42.74

=====

(3)
This record from Alexandria describes HoNp4Ga12 after structural relaxation. The functional is PBE.

a b c (Å): 8.8117 8.8117 8.8117
angles (deg): 90.00 90.00 90.00
Closest atoms and distances in Å follow each position.
Space group Im-3m (No. 229)
Asymmetric unit:
Ho: 0.0000 0.0000 0.0000 [2 per cell]  6 Ga 2.78
Np: 0.2500 0.2500 0.2500 [8 per cell]  12 Ga 3.12-3.17
Ga: 0.0000 0.0000 0.3152 [12 per cell]  4 Ga 2.74, 1 Ho 2.78
Ga: 0.0000 0.2500 0.5000 [12 per cell]  4 Ga 2.74

Spin magnetization (μB per atom): 0.9841
Density (g/cm³): 9.5
Calculated total energy (eV/atom): -5.6138
V (Å³/atom): 20.12

=====

(4)
This record from Alexandria describes ZnCo2Te after structural relaxation. The functional is PBE.

a b c (Å): 8.9038 3.2583 4.0695
angles (deg): 90.00 102.25 90.00
Closest atoms and distances in Å follow each position.
Space group Cm (No. 8)
Asymmetric unit:
Zn: 0.0000 0.0000 0.0000 [2 per cell]  7 Co 2.49-2.66
Co: 0.0175 0.5000 0.4933 [2 per cell]  3 Te 2.55-2.57, 4 Zn 2.56-2.66, 2 Co 2.74-2.77
Co: 0.2309 0.5000 0.0866 [2 per cell]  3 Zn 2.49-2.59, 4 Te 2.58-2.64, 2 Co 2.74-2.77
Te: 0.2462 0.0000 0.6020 [2 per cell]  7 Co 2.55-2.64

Spin magnetization (μB per atom): 0.0000
Density (g/cm³): 8.9
Energy above the most stable polymorph in this dataset (eV/f.u.): 0.085
V (Å³/atom): 14.42
Formation energy (no corrections) (eV per formula unit): 0.8

=====

(5)
This record from Alexandria describes Zr2CoPt after structural relaxation. The functional is PBE.

a b c (Å): 3.9573 3.6599 5.3938
angles (deg): 90.00 98.44 90.00
Closest atoms and distances in Å follow each position.
Space group P2/m (No. 10)
Asymmetric unit:
Zr: 0.0000 0.0000 0.0000 [1 per cell]  4 Pt 2.70, 2 Co 2.70
Zr: 0.5000 0.5000 0.5000 [1 per cell]  4 Co 2.70, 2 Pt 2.70
Co: 0.0000 0.0000 0.5000 [1 per cell]  6 Zr 2.70
Pt: 0.5000 0.5000 0.0000 [1 per cell]  6 Zr 2.70

Spin magnetization (μB per atom): 0.0000
Density (g/cm³): 9.4
Calculated total energy (eV/atom): -7.8948
V (Å³/atom): 19.32

=====

(6)
This record from Alexandria describes CdSiAsSe2 after structural relaxation. The functional is PBE.

a b c (Å): 5.1948 5.1948 5.0950
angles (deg): 90.00 90.00 90.00
Closest atoms and distances in Å follow each position.
Space group P4/mmm (No. 123)
Asymmetric unit:
Cd: 0.0000 0.0000 0.0000 [1 per cell]  2 As 2.55, 4 Se 2.60
Si: 0.5000 0.5000 0.5000 [1 per cell]  8 Se 3.64, 4 As 3.67
As: 0.0000 0.0000 0.5000 [1 per cell]  2 Cd 2.55
Se: 0.0000 0.5000 0.0000 [2 per cell]  2 Cd 2.60

Spin magnetization (μB per atom): 0.0000
Density (g/cm³): 4.5
Energy above the most stable polymorph in this dataset (eV/f.u.): 3.140
V (Å³/atom): 27.50
Formation energy (no corrections) (eV per formula unit): 4.8